# Ba2ZrGaSe5 | Alexandria | PBE | relaxed
data_Ba2ZrGaSe5
_chemical_formula_sum 'Ba8 Zr4 Ga4 Se20'
_cell_length_a 4.2634
_cell_length_b 18.8086
_cell_length_c 13.1566
_cell_angle_alpha 90.00
_cell_angle_beta 90.00
_cell_angle_gamma 90.00
_space_group_name_H-M_alt 'C m c 21'
_space_group_IT_number 36
_space_group_name_Hall 'C 2c -2'
loop_
_atom_site_label
_atom_site_fract_x
_atom_site_fract_y
_atom_site_fract_z
Ba1 0.0000 0.1208 0.0000
Ba2 0.0000 0.1308 0.6204
Zr1 0.0000 0.2090 0.3275
Ga1 0.0000 0.4411 0.7486
Se1 0.0000 0.0564 0.3478
Se2 0.0000 0.2934 0.9633
Se3 0.0000 0.3102 0.6856
Se4 0.0000 0.3475 0.3132
Se5 0.0000 0.5002 0.0856
# V = 1055.0 Å³/cell
# Total energy = -5.10 eV per atom
# Density of states at the Fermi level = 2.68 states/eV/f.u.
# ΔE_f (raw) = -1.446 eV/atom